[1]
First-principles (PBE) data for crystalline BeCd2Ge at its relaxed geometry, as listed in Alexandria via LeMat-Bulk.

Geometry as extended XYZ:
```
8
Lattice="-2.1073 2.1073 8.9108 2.1073 -2.1073 8.9108 2.1073 2.1073 -8.9108" Properties=species:S:1:pos:R:3 pbc="T T T"
Be 0.0000 0.0000 0.0000
Be 0.0000 2.1073 4.4554
Cd 3.1610 0.9515 -2.2277
Cd 0.9515 1.0537 2.2277
Cd -1.0537 1.1558 6.6831
Cd 1.1558 1.0537 11.1385
Ge 2.1073 0.0000 4.4554
Ge 0.0000 0.0000 8.9108
```

- ρ (Mg/m³) = 6.43
- DFT total energy (eV/atom) = -2.090
- energy of formation (eV per atom) = 0.453
- E above lowest polymorph (eV/atom) = 0.0000

[2]
First-principles (PBE) data for crystalline BeCd2Ge2 at its relaxed geometry, as listed in Alexandria via LeMat-Bulk.

Geometry as extended XYZ:
```
10
Lattice="6.7384 0.0000 0.0000 0.0000 6.7384 0.0000 0.0000 0.0000 4.4962" Properties=species:S:1:pos:R:3 pbc="T T T"
Be 0.0000 0.0000 0.0000
Be 3.3692 3.3692 0.0000
Cd 1.1066 2.2626 0.0000
Cd 2.2626 5.6318 0.0000
Cd 4.4758 1.1066 0.0000
Cd 5.6318 4.4758 0.0000
Ge 0.9943 4.3635 2.2481
Ge 2.3749 0.9943 2.2481
Ge 4.3635 5.7441 2.2481
Ge 5.7441 2.3749 2.2481
```

- ρ (Mg/m³) = 6.17
- DFT total energy (eV/atom) = -2.442
- energy of formation (eV per atom) = 0.517
- E above lowest polymorph (eV/atom) = 0.2506

[3]
First-principles (PBE) data for crystalline Be3CdGe at its relaxed geometry, as listed in Alexandria via LeMat-Bulk.

Geometry as extended XYZ:
```
5
Lattice="4.4421 0.0000 0.0000 0.0000 4.4421 0.0000 0.0000 0.0000 4.4421" Properties=species:S:1:pos:R:3 pbc="T T T"
Be 0.0000 0.0000 2.2211
Be 0.0000 2.2211 0.0000
Be 2.2211 0.0000 0.0000
Cd 0.0000 0.0000 0.0000
Ge 2.2211 2.2211 2.2211
```

- ρ (Mg/m³) = 4.02
- DFT total energy (eV/atom) = -2.166
- energy of formation (eV per atom) = 1.177
- E above lowest polymorph (eV/atom) = 0.3184

[4]
First-principles (PBE) data for crystalline BeCdGe2 at its relaxed geometry, as listed in Alexandria via LeMat-Bulk.

Geometry as extended XYZ:
```
4
Lattice="0.0000 3.3115 3.3115 3.3115 0.0000 3.3115 3.3115 3.3115 0.0000" Properties=species:S:1:pos:R:3 pbc="T T T"
Be 0.0000 0.0000 0.0000
Cd 3.3115 3.3115 3.3115
Ge 1.6558 1.6558 1.6558
Ge 4.9673 4.9673 4.9673
```

- ρ (Mg/m³) = 6.10
- DFT total energy (eV/atom) = -2.917
- energy of formation (eV per atom) = 0.552
- E above lowest polymorph (eV/atom) = 0.2662

[5]
First-principles (PBE) data for crystalline BeCdGe3 at its relaxed geometry, as listed in Alexandria via LeMat-Bulk.

Geometry as extended XYZ:
```
5
Lattice="5.1283 0.0000 0.0000 0.0000 5.1283 0.0000 0.0000 0.0000 5.1283" Properties=species:S:1:pos:R:3 pbc="T T T"
Be 0.0000 0.0000 0.0000
Cd 2.5642 2.5642 2.5642
Ge 0.0000 2.5642 2.5642
Ge 2.5642 0.0000 2.5642
Ge 2.5642 2.5642 0.0000
```

- ρ (Mg/m³) = 4.18
- DFT total energy (eV/atom) = -2.384
- energy of formation (eV per atom) = 1.314
- E above lowest polymorph (eV/atom) = 0.8868

[6]
First-principles (PBE) data for crystalline BeCd2Ge at its relaxed geometry, as listed in Alexandria via LeMat-Bulk.

Geometry as extended XYZ:
```
4
Lattice="0.0000 3.3634 3.3634 3.3634 0.0000 3.3634 3.3634 3.3634 0.0000" Properties=species:S:1:pos:R:3 pbc="T T T"
Be 0.0000 0.0000 0.0000
Cd 1.6817 1.6817 1.6817
Cd 5.0452 5.0452 5.0452
Ge 3.3634 3.3634 3.3634
```

- ρ (Mg/m³) = 6.69
- DFT total energy (eV/atom) = -2.035
- energy of formation (eV per atom) = 0.509
- E above lowest polymorph (eV/atom) = 0.0551

[7]
First-principles (PBE) data for crystalline Be2Cd2Ge at its relaxed geometry, as listed in Alexandria via LeMat-Bulk.

Geometry as extended XYZ:
```
10
Lattice="7.6382 0.0000 0.0000 0.0000 7.6382 0.0000 0.0000 0.0000 2.8316" Properties=species:S:1:pos:R:3 pbc="T T T"
Be 0.7987 3.0204 0.0000
Be 3.0204 6.8395 0.0000
Be 4.6178 0.7987 0.0000
Be 6.8395 4.6178 0.0000
Cd 1.4328 5.2519 1.4158
Cd 2.3863 1.4328 1.4158
Cd 5.2519 6.2054 1.4158
Cd 6.2054 2.3863 1.4158
Ge 0.0000 0.0000 0.0000
Ge 3.8191 3.8191 0.0000
```

- ρ (Mg/m³) = 6.34
- DFT total energy (eV/atom) = -2.309
- energy of formation (eV per atom) = 0.471

[8]
First-principles (PBE) data for crystalline BeCd2Ge2 at its relaxed geometry, as listed in Alexandria via LeMat-Bulk.

Geometry as extended XYZ:
```
10
Lattice="6.0586 0.0000 0.0000 0.0000 6.0586 0.0000 0.0000 0.0000 5.3287" Properties=species:S:1:pos:R:3 pbc="T T T"
Be 0.0000 0.0000 0.0000
Be 3.0293 3.0293 0.0000
Cd 1.1218 1.9075 2.6644
Cd 1.9075 4.9368 2.6644
Cd 4.1511 1.1218 2.6644
Cd 4.9368 4.1511 2.6644
Ge 0.9104 3.9397 0.0000
Ge 2.1188 0.9104 0.0000
Ge 3.9397 5.1481 0.0000
Ge 5.1481 2.1188 0.0000
```

- ρ (Mg/m³) = 6.44
- DFT total energy (eV/atom) = -2.692
- energy of formation (eV per atom) = 0.266
- E above lowest polymorph (eV/atom) = 0.0000

[9]
First-principles (PBE) data for crystalline MgBe2CdGe at its relaxed geometry, as listed in Alexandria via LeMat-Bulk.

Geometry as extended XYZ:
```
5
Lattice="4.6047 0.0000 0.0000 0.0000 4.6047 0.0000 0.0000 0.0000 5.0398" Properties=species:S:1:pos:R:3 pbc="T T T"
Mg 0.0000 0.0000 0.0000
Be 0.0000 2.3024 0.0000
Be 2.3024 0.0000 0.0000
Cd 2.3024 2.3024 2.5199
Ge 0.0000 0.0000 2.5199
```

- ρ (Mg/m³) = 3.53
- DFT total energy (eV/atom) = -1.769
- energy of formation (eV per atom) = 1.147

[10]
First-principles (PBE) data for crystalline BeCd2GeN at its relaxed geometry, as listed in Alexandria via LeMat-Bulk.

Geometry as extended XYZ:
```
5
Lattice="5.4889 0.0000 0.0000 0.0000 5.4889 0.0000 0.0000 0.0000 2.9718" Properties=species:S:1:pos:R:3 pbc="T T T"
Be 0.0000 0.0000 0.0000
Cd 0.0000 2.7444 0.0000
Cd 2.7444 0.0000 0.0000
Ge 2.7444 2.7444 1.4859
N 0.0000 0.0000 1.4859
```

- ρ (Mg/m³) = 5.94
- DFT total energy (eV/atom) = -3.484
- energy relative to the elements, uncorrected (meV per atom) = 216

[11]
First-principles (PBE) data for crystalline NaBeCd2Ge at its relaxed geometry, as listed in Alexandria via LeMat-Bulk.

Geometry as extended XYZ:
```
5
Lattice="5.2142 0.0000 0.0000 0.0000 5.2142 0.0000 0.0000 0.0000 5.1471" Properties=species:S:1:pos:R:3 pbc="T T T"
Na 0.0000 0.0000 0.0000
Be 2.6071 2.6071 2.5736
Cd 0.0000 2.6071 0.0000
Cd 2.6071 0.0000 0.0000
Ge 0.0000 0.0000 2.5736
```

- ρ (Mg/m³) = 3.91
- DFT total energy (eV/atom) = -1.088
- energy of formation (eV per atom) = 1.210

[12]
First-principles (PBE) data for crystalline BeCdGe2O6 at its relaxed geometry, as listed in Alexandria via LeMat-Bulk.

Geometry as extended XYZ:
```
20
Lattice="5.0465 -4.9253 0.0000 5.0465 4.9253 0.0000 -2.2688 0.0000 5.1077" Properties=species:S:1:pos:R:3 pbc="T T T"
Be 3.3449 2.9699 3.8308
Be 4.4793 -2.9699 1.2769
Cd 4.4793 3.7244 1.2769
Cd 3.3449 -3.7244 3.8308
Ge 2.3451 0.8538 1.6893
Ge 1.2108 -0.8538 4.2431
Ge 6.6135 0.8538 0.8646
Ge 5.4791 -0.8538 3.4184
O 0.7205 0.9335 0.9551
O 3.0223 2.2990 2.3829
O -0.4139 -0.9335 3.5090
O 3.4041 0.4907 0.2940
O 5.9364 2.2990 0.1710
O 2.2697 -0.4907 2.8479
O 5.5546 0.4907 2.2599
O 1.8879 -2.2990 4.9368
O 4.4202 -0.4907 4.8137
O 8.2382 0.9335 1.5987
O 4.8020 -2.2990 2.7248
O 7.1038 -0.9335 4.1526
```

- ρ (Mg/m³) = 4.74
- DFT total energy (eV/atom) = -6.114
- energy relative to the elements, uncorrected (meV per atom) = -1751

[13]
First-principles (PBE) data for crystalline BeCdGeO4 at its relaxed geometry, as listed in Alexandria via LeMat-Bulk.

Geometry as extended XYZ:
```
7
Lattice="-2.4295 2.4295 3.7048 2.4295 -2.4295 3.7048 2.4295 2.4295 -3.7048" Properties=species:S:1:pos:R:3 pbc="T T T"
Be 0.0000 0.0000 0.0000
Cd 0.0000 2.4295 1.8524
Ge 2.4295 0.0000 1.8524
O 1.6687 -1.2740 2.8295
O 1.1555 0.7608 0.8752
O 0.7608 3.7035 -0.8752
O 1.2740 1.6687 4.5800
```

- ρ (Mg/m³) = 4.90
- DFT total energy (eV/atom) = -5.986
- energy relative to the elements, uncorrected (meV per atom) = -1830

[14]
First-principles (PBE) data for crystalline BeCdGe2P at its relaxed geometry, as listed in Alexandria via LeMat-Bulk.

Geometry as extended XYZ:
```
5
Lattice="5.2369 0.0000 0.0000 0.0000 5.2369 0.0000 0.0000 0.0000 3.8151" Properties=species:S:1:pos:R:3 pbc="T T T"
Be 0.0000 0.0000 0.0000
Cd 2.6185 2.6185 0.0000
Ge 0.0000 2.6185 1.9076
Ge 2.6185 0.0000 1.9076
P 0.0000 0.0000 1.9076
```

- ρ (Mg/m³) = 4.72
- DFT total energy (eV/atom) = -3.400
- energy of formation (eV per atom) = 0.457

[15]
First-principles (PBE) data for crystalline Sc2BeCdGe at its relaxed geometry, as listed in Alexandria via LeMat-Bulk.

Geometry as extended XYZ:
```
5
Lattice="4.7874 0.0000 0.0000 0.0000 4.7874 0.0000 0.0000 0.0000 4.4550" Properties=species:S:1:pos:R:3 pbc="T T T"
Sc 0.0000 2.3937 0.0000
Sc 2.3937 0.0000 0.0000
Be 0.0000 0.0000 0.0000
Cd 0.0000 0.0000 2.2275
Ge 2.3937 2.3937 2.2275
```

- ρ (Mg/m³) = 4.62
- DFT total energy (eV/atom) = -4.322
- energy of formation (eV per atom) = 0.062

[16]
First-principles (PBE) data for crystalline Ta2BeCdGe at its relaxed geometry, as listed in Alexandria via LeMat-Bulk.

Geometry as extended XYZ:
```
5
Lattice="5.0686 0.0000 0.0000 0.0000 5.0686 0.0000 0.0000 0.0000 4.0745" Properties=species:S:1:pos:R:3 pbc="T T T"
Ta 0.0000 2.5343 0.0000
Ta 2.5343 0.0000 0.0000
Be 0.0000 0.0000 2.0373
Cd 0.0000 0.0000 0.0000
Ge 2.5343 2.5343 2.0373
```

- ρ (Mg/m³) = 8.82
- DFT total energy (eV/atom) = -4.876
- energy of formation (eV per atom) = 1.717

[17]
First-principles (PBE) data for crystalline TiBeCdGe2 at its relaxed geometry, as listed in Alexandria via LeMat-Bulk.

Geometry as extended XYZ:
```
5
Lattice="4.9059 0.0000 0.0000 0.0000 4.9059 0.0000 0.0000 0.0000 4.6443" Properties=species:S:1:pos:R:3 pbc="T T T"
Ti 0.0000 0.0000 0.0000
Be 0.0000 0.0000 2.3221
Cd 2.4530 2.4530 2.3221
Ge 0.0000 2.4530 0.0000
Ge 2.4530 0.0000 0.0000
```

- ρ (Mg/m³) = 4.67
- DFT total energy (eV/atom) = -3.671
- energy of formation (eV per atom) = 0.683

[18]
First-principles (PBE) data for crystalline Y2BeCdGe at its relaxed geometry, as listed in Alexandria via LeMat-Bulk.

Geometry as extended XYZ:
```
5
Lattice="5.6177 0.0000 0.0000 0.0000 5.6177 0.0000 0.0000 0.0000 4.8175" Properties=species:S:1:pos:R:3 pbc="T T T"
Y 0.0000 2.8089 0.0000
Y 2.8089 0.0000 0.0000
Be 0.0000 0.0000 2.4087
Cd 2.8089 2.8089 0.0000
Ge 2.8089 2.8089 2.4087
```

- ρ (Mg/m³) = 4.06
- DFT total energy (eV/atom) = -3.564
- energy of formation (eV per atom) = 0.873

[19]
First-principles (PBE) data for crystalline Be3CdH at its relaxed geometry, as listed in Alexandria via LeMat-Bulk.

Geometry as extended XYZ:
```
5
Lattice="3.6794 0.0000 0.0000 0.0000 3.6794 0.0000 0.0000 0.0000 3.6794" Properties=species:S:1:pos:R:3 pbc="T T T"
Be 0.0000 0.0000 1.8397
Be 0.0000 1.8397 0.0000
Be 1.8397 0.0000 0.0000
Cd 1.8397 1.8397 1.8397
H 0.0000 0.0000 0.0000
```

- ρ (Mg/m³) = 4.68
- DFT total energy (eV/atom) = -2.527
- E above lowest polymorph (eV/atom) = 0.0000

[20]
First-principles (PBE) data for crystalline BeCdH2 at its relaxed geometry, as listed in Alexandria via LeMat-Bulk.

Geometry as extended XYZ:
```
4
Lattice="0.0000 2.7072 2.7072 2.7072 0.0000 2.7072 2.7072 2.7072 0.0000" Properties=species:S:1:pos:R:3 pbc="T T T"
Be 0.0000 0.0000 0.0000
Cd 2.7072 2.7072 2.7072
H 1.3536 1.3536 1.3536
H 4.0609 4.0609 4.0609
```

- ρ (Mg/m³) = 5.17
- DFT total energy (eV/atom) = -1.892
- E above lowest polymorph (eV/atom) = 0.6661

[21]
First-principles (PBE) data for crystalline Be3CdH at its relaxed geometry, as listed in Alexandria via LeMat-Bulk.

Geometry as extended XYZ:
```
5
Lattice="4.5045 0.0000 0.0000 0.0000 4.5045 0.0000 0.0000 0.0000 4.5045" Properties=species:S:1:pos:R:3 pbc="T T T"
Be 0.0000 0.0000 2.2523
Be 0.0000 2.2523 0.0000
Be 2.2523 0.0000 0.0000
Cd 0.0000 0.0000 0.0000
H 2.2523 2.2523 2.2523
```

- ρ (Mg/m³) = 2.55
- DFT total energy (eV/atom) = -1.573
- E above lowest polymorph (eV/atom) = 0.9538

[22]
First-principles (PBE) data for crystalline BeCd2H2 at its relaxed geometry, as listed in Alexandria via LeMat-Bulk.

Geometry as extended XYZ:
```
10
Lattice="6.6252 0.0000 0.0000 0.0000 6.6252 0.0000 0.0000 0.0000 3.7566" Properties=species:S:1:pos:R:3 pbc="T T T"
Be 0.0000 0.0000 0.0000
Be 3.3126 3.3126 0.0000
Cd 1.2094 2.1032 0.0000
Cd 2.1032 5.4158 0.0000
Cd 4.5220 1.2094 0.0000
Cd 5.4158 4.5220 0.0000
H 1.0725 2.2401 1.8783
H 2.2401 5.5527 1.8783
H 4.3851 1.0725 1.8783
H 5.5527 4.3851 1.8783
```

- ρ (Mg/m³) = 4.75
- DFT total energy (eV/atom) = -1.812
- E above lowest polymorph (eV/atom) = 0.0816

[23]
First-principles (PBE) data for crystalline BeCd3H at its relaxed geometry, as listed in Alexandria via LeMat-Bulk.

Geometry as extended XYZ:
```
5
Lattice="4.7413 0.0000 0.0000 0.0000 4.7413 0.0000 0.0000 0.0000 4.7413" Properties=species:S:1:pos:R:3 pbc="T T T"
Be 0.0000 0.0000 0.0000
Cd 0.0000 0.0000 2.3707
Cd 0.0000 2.3707 0.0000
Cd 2.3707 0.0000 0.0000
H 2.3707 2.3707 2.3707
```

- ρ (Mg/m³) = 5.41
- DFT total energy (eV/atom) = -1.373
- E above lowest polymorph (eV/atom) = 0.0000

[24]
First-principles (PBE) data for crystalline Be2CdH at its relaxed geometry, as listed in Alexandria via LeMat-Bulk.

Geometry as extended XYZ:
```
8
Lattice="-2.2375 2.2375 4.3565 2.2375 -2.2375 4.3565 2.2375 2.2375 -4.3565" Properties=species:S:1:pos:R:3 pbc="T T T"
Be 0.0000 0.0000 0.0000
Be 1.1187 1.1187 -2.1782
Be 1.1187 -1.1187 2.1782
Be 0.0000 2.2375 0.0000
Cd 2.2375 1.1187 1.0891
Cd 0.0000 1.1187 3.2673
H 2.2375 -1.1187 3.2673
H 0.0000 3.3562 1.0891
```

- ρ (Mg/m³) = 5.00
- DFT total energy (eV/atom) = -2.506
- E above lowest polymorph (eV/atom) = 0.0000

[25]
First-principles (PBE) data for crystalline BeCd2H2 at its relaxed geometry, as listed in Alexandria via LeMat-Bulk.

Geometry as extended XYZ:
```
5
Lattice="-1.5393 1.5393 6.4319 1.5393 -1.5393 6.4319 1.5393 1.5393 -6.4319" Properties=species:S:1:pos:R:3 pbc="T T T"
Be 0.0000 0.0000 0.0000
Cd 0.0000 0.0000 4.7580
Cd 0.0000 0.0000 8.1057
H 1.5393 0.0000 3.2159
H 0.0000 1.5393 3.2159
```

- ρ (Mg/m³) = 6.42
- DFT total energy (eV/atom) = -1.893
- E above lowest polymorph (eV/atom) = 0.0000

[26]
First-principles (PBE) data for crystalline Be2CdH at its relaxed geometry, as listed in Alexandria via LeMat-Bulk.

Geometry as extended XYZ:
```
4
Lattice="0.0000 2.8370 2.8370 2.8370 0.0000 2.8370 2.8370 2.8370 0.0000" Properties=species:S:1:pos:R:3 pbc="T T T"
Be 1.4185 1.4185 1.4185
Be 4.2554 4.2554 4.2554
Cd 0.0000 0.0000 0.0000
H 2.8370 2.8370 2.8370
```

- ρ (Mg/m³) = 4.78
- DFT total energy (eV/atom) = -1.982
- E above lowest polymorph (eV/atom) = 0.5242